# 1
# Zr3Be

A PBEsol-optimized structure of Zr3Be (meta-GGA SCAN, the Alexandria database).

Output
E_form (kcal/mol of atoms): 25.87

Cell lengths 4.7055, 4.7055, 4.7055 Å; angles 90.00, 90.00, 90.00 degrees
Space group Pm-3m (No. 221)
One atom of each set of equivalent atoms:
1 Zr 0.0000 0.0000 0.5000 x3
2 Be 0.0000 0.0000 0.0000 x1

# 2
# SrReSn2As

A PBEsol-optimized structure of SrReSn2As (meta-GGA SCAN, the Alexandria database).

Output
E_form (kcal/mol of atoms): 48.92

Cell lengths 5.7451, 5.7451, 5.3017 Å; angles 90.00, 90.00, 90.00 degrees
Space group P4/mmm (No. 123)
One atom of each set of equivalent atoms:
1 Sr 0.0000 0.0000 0.0000 x1
2 Re 0.5000 0.5000 0.5000 x1
3 Sn 0.0000 0.5000 0.0000 x2
4 As 0.0000 0.0000 0.5000 x1